DFT (PBE) results for a relaxed Pu2UTc crystal.

Unit cell a=4.8260 b=4.8260 c=4.8260 alpha=60.00 beta=60.00 gamma=60.00
Last column: nearest neighbours and their distance in Å.
Fractional positions:
Pu: 0.2500 0.2500 0.2500  4 Tc 2.96, 4 U 2.96
Pu: 0.7500 0.7500 0.7500  4 Tc 2.96, 4 U 2.96
U: 0.0000 0.0000 0.0000  8 Pu 2.96
Tc: 0.5000 0.5000 0.5000  8 Pu 2.96

Summary:
The calculation puts the total energy at -12.422 eV/atom. For the calculated formation energy, the calculation gives 61 kJ/mol of formula units. For the density of states at the Fermi level, the calculation gives 3.05 states/eV/atom.